Entry 1:
UTlTe2: relaxed, PBE-GGA.

The formation energy (no corrections) comes out at -0.4962 eV/atom.

It has space group P4/mmm (No. 123), with a = 3.825 Å, b = 3.825 Å, c = 8.294 Å, α = 90.00°, β = 90.00° and γ = 90.00°. Symmetry generates all atoms from U at (0.000, 0.000, 0.000), Tl at (0.000, 0.000, 0.500) and Te at (0.500, 0.500, 0.212).

=====

Entry 2:
UTl2Te3: relaxed, PBE-GGA.

The formation energy (no corrections) comes out at -0.5109 eV/atom. As for the energy above the most stable polymorph in this dataset: 0.0 kJ per mole of atoms.

It has space group C2/m (No. 12), with a = 8.005 Å, b = 13.689 Å, c = 8.451 Å, α = 90.00°, β = 107.86° and γ = 90.00°. Symmetry generates all atoms from U at (0.000, 0.169, 0.000), Tl at (0.000, 0.000, 0.500), Tl at (0.000, 0.345, 0.500), Tl at (0.000, 0.500, 0.000), Te at (0.205, 0.000, 0.209) and Te at (0.242, 0.183, 0.778).

=====

Entry 3:
U3Tl2Te6: relaxed, PBE-GGA.

The formation energy (no corrections) comes out at -0.5671 eV/atom.

It has space group C2/m (No. 12), with a = 7.536 Å, b = 13.052 Å, c = 8.768 Å, α = 90.00°, β = 106.69° and γ = 90.00°. Symmetry generates all atoms from U at (0.000, 0.000, 0.000), U at (0.000, 0.332, 0.000), Tl at (0.000, 0.166, 0.500), Te at (0.237, 0.500, 0.215) and Te at (0.240, 0.166, 0.216).

=====

Entry 4:
UTl2Te3: relaxed, PBE-GGA.

The formation energy (no corrections) comes out at -0.4662 eV/atom. As for the energy above the most stable polymorph in this dataset: 4.3 kJ per mole of atoms.

It has space group C2/c (No. 15), with a = 8.774 Å, b = 13.515 Å, c = 7.729 Å, α = 90.00°, β = 109.67° and γ = 90.00°. Symmetry generates all atoms from U at (0.000, 0.094, 0.250), Tl at (0.000, 0.265, 0.750), Tl at (0.000, 0.424, 0.250), Te at (0.198, 0.072, 0.993) and Te at (0.250, 0.250, 0.500).

=====

For each record above, in turn, the calculated calculated density values are 9.55; 7.76; 7.59; 7.92 g/cm³.